This record from Alexandria describes an optimized crystal structure of Ag2MoO4. The functional is PBE+U.

## Properties
magnetization	0.00	μB/cell
space-group type	Cm, No. 8
final energy	-5.558	eV/atom
theoretical density	5520	kg/m³

a = 6.307 Å, b = 6.307 Å, c = 5.763 Å
α = 141.23°, β = 120.48°, γ = 79.87°
Sites, in units of the cell vectors:
Mo  0.015  0.899  0.915
O  0.028  0.072  0.771
O  0.331  0.094  0.425
Ag  0.649  0.060  0.329
O  0.010  0.452  0.462
Ag  0.269  0.680  0.329
O  0.699  0.743  0.771